Record 1
Material: La2Ag2Ge
Method: DFT, PBE
State: optimized geometry

Results
The total energy comes out at -4.195 eV/atom. The formation energy is -0.1600 eV/atom. The calculation puts the energy relative to the lowest polymorph listed for this composition at 0.182 eV/atom. The theoretical density is 6.6 g cm⁻³.

Cell: 8.518 8.518 3.922 Å, 90.00 90.00 90.00°
Sites, in units of the cell vectors:
Ag 0.119 0.619 0.500
Ag 0.619 0.881 0.500
Ag 0.381 0.119 0.500
Ag 0.881 0.381 0.500
La 0.178 0.322 0.000
La 0.322 0.822 0.000
La 0.822 0.678 0.000
La 0.678 0.178 0.000
Ge 0.500 0.500 0.000
Ge 0.000 0.000 0.000


Record 2
Material: Er7Cd2In2
Method: DFT, PBE
State: optimized geometry

Results
The total energy comes out at -3.542 eV/atom. The formation energy is 0.0257 eV/atom. The theoretical density is 8.1 g cm⁻³.

Cell: 6.671 8.098 6.671 Å, 90.00 112.57 90.00°
Sites, in units of the cell vectors:
Cd 0.718 0.000 0.282
Cd 0.282 0.000 0.718
In 0.192 0.500 0.192
In 0.808 0.500 0.808
Er 0.000 0.000 0.000
Er 0.500 0.707 0.000
Er 0.500 0.762 0.500
Er 0.500 0.238 0.500
Er 0.500 0.293 0.000
Er 0.000 0.707 0.500
Er 0.000 0.293 0.500


Record 3
Material: AcBi2Pt2
Method: DFT, PBE
State: optimized geometry

Results
The total energy comes out at -5.457 eV/atom. The formation energy is -0.6668 eV/atom. The theoretical density is 12.6 g cm⁻³.

Cell: 4.883 4.883 13.263 Å, 90.00 90.00 120.00°
Sites, in units of the cell vectors:
Ac 0.000 0.000 0.750
Ac 0.000 0.000 0.250
Bi 0.333 0.667 0.920
Bi 0.333 0.667 0.580
Bi 0.667 0.333 0.080
Bi 0.667 0.333 0.420
Pt 0.333 0.666 0.134
Pt 0.333 0.666 0.366
Pt 0.667 0.334 0.866
Pt 0.667 0.334 0.634


Record 4
Material: CaLa2BeO5
Method: DFT, PBE
State: optimized geometry

Results
The total energy comes out at -7.329 eV/atom. The calculation puts the energy relative to the lowest polymorph listed for this composition at 0.318 eV/atom. The value obtained for the raw formation energy is -65.566 kcal/mol of atoms. The theoretical density is 5.4 g cm⁻³.

Cell: 5.583 6.685 6.685 Å, 90.00 90.00 90.00°
Sites, in units of the cell vectors:
Be 0.000 0.500 0.000
Be 0.000 0.000 0.500
O 0.781 0.367 0.133
O 0.500 0.500 0.500
O 0.219 0.367 0.133
O 0.781 0.867 0.367
O 0.219 0.633 0.867
O 0.500 0.000 0.000
O 0.219 0.867 0.367
O 0.781 0.133 0.633
O 0.219 0.133 0.633
O 0.781 0.633 0.867
La 0.500 0.174 0.326
La 0.500 0.326 0.826
La 0.500 0.826 0.674
La 0.500 0.674 0.174
Ca 0.000 0.000 0.000
Ca 0.000 0.500 0.500


Record 5
Material: Pr5NdEr
Method: DFT, PBE
State: optimized geometry

Results
The total energy comes out at -3.807 eV/atom. The formation energy is 0.9395 eV/atom. The theoretical density is 5.2 g cm⁻³.

Cell: 5.965 8.118 8.118 Å, 66.22 68.52 68.52°
Sites, in units of the cell vectors:
Nd 0.000 0.000 0.000
Pr 0.000 0.676 0.324
Pr 0.000 0.324 0.676
Pr 0.249 0.751 0.751
Pr 0.500 0.000 0.000
Pr 0.751 0.249 0.249
Er 0.500 0.500 0.500


Record 6
Material: Mn2VB
Method: DFT, PBE
State: optimized geometry

Results
The total energy comes out at -8.649 eV/atom. The formation energy is -0.1154 eV/atom. The theoretical density is 6.9 g cm⁻³.

Cell: 2.773 3.595 8.398 Å, 90.00 99.50 90.00°
Sites, in units of the cell vectors:
V 0.619 0.750 0.237
V 0.381 0.250 0.763
B 0.841 0.750 0.682
B 0.159 0.250 0.318
Mn 0.033 0.250 0.066
Mn 0.967 0.750 0.934
Mn 0.755 0.250 0.511
Mn 0.245 0.750 0.489


Record 7
Material: ReP2Br
Method: DFT, PBE
State: optimized geometry

Results
The total energy comes out at -5.130 eV/atom. The calculation puts the energy relative to the lowest polymorph listed for this composition at 1.076 eV/atom. The value obtained for the raw formation energy is 25.488 kcal/mol of atoms. The theoretical density is 8.4 g cm⁻³.

Cell: 4.816 4.816 3.137 Å, 90.00 90.00 117.14°
Sites, in units of the cell vectors:
P 0.500 0.500 0.000
P 0.000 0.000 0.000
Re 0.500 0.000 0.500
Br 0.000 0.500 0.500


Record 8
Material: BaPtW2
Method: DFT, PBE
State: optimized geometry

Results
The total energy comes out at -7.115 eV/atom. The formation energy is 1.3524 eV/atom. The calculation puts the energy relative to the lowest polymorph listed for this composition at 0.926 eV/atom. The theoretical density is 15.4 g cm⁻³.

Cell: 4.748 4.748 4.748 Å, 60.00 60.00 60.00°
Sites, in units of the cell vectors:
Pt 0.500 0.500 0.500
W 0.750 0.750 0.750
W 0.250 0.250 0.250
Ba 0.000 0.000 0.000


Record 9
Material: SrNd2Tm
Method: DFT, PBE
State: optimized geometry

Results
The total energy comes out at -3.815 eV/atom. The formation energy is 0.1077 eV/atom. The calculation puts the energy relative to the lowest polymorph listed for this composition at 0.006 eV/atom. The theoretical density is 5.9 g cm⁻³.

Cell: 4.098 4.098 9.183 Å, 90.00 90.00 90.00°
Sites, in units of the cell vectors:
Nd 0.000 0.000 0.796
Nd 0.000 0.000 0.204
Sr 0.500 0.500 0.500
Tm 0.500 0.500 0.000


Record 10
Material: BeIr2
Method: DFT, PBE
State: optimized geometry

Results
The total energy comes out at -7.192 eV/atom. The formation energy is -0.0426 eV/atom. The theoretical density is 17.0 g cm⁻³.

Cell: 4.112 4.112 5.236 Å, 90.00 90.00 120.00°
Sites, in units of the cell vectors:
Be 0.667 0.333 0.750
Be 0.333 0.667 0.250
Ir 0.667 0.333 0.250
Ir 0.000 0.000 0.500
Ir 0.333 0.667 0.750
Ir 0.000 0.000 0.000


Record 11
Material: Ni2Os
Method: DFT, PBE
State: optimized geometry

Results
The total energy comes out at -7.496 eV/atom. The formation energy is 0.1012 eV/atom. The calculation puts the energy relative to the lowest polymorph listed for this composition at 0.037 eV/atom. The theoretical density is 14.1 g cm⁻³.

Cell: 6.690 4.476 7.674 Å, 90.00 141.04 90.00°
Sites, in units of the cell vectors:
Os 0.250 0.593 0.750
Os 0.750 0.907 0.750
Os 0.250 0.093 0.250
Os 0.750 0.407 0.250
Ni 0.246 0.580 0.412
Ni 0.754 0.920 0.088
Ni 0.746 0.420 0.912
Ni 0.754 0.420 0.588
Ni 0.254 0.080 0.588
Ni 0.246 0.080 0.912
Ni 0.746 0.920 0.412
Ni 0.254 0.580 0.088


Record 12
Material: NaThIn4O8
Method: DFT, PBE
State: optimized geometry

Results
The total energy comes out at -6.132 eV/atom. The value obtained for the raw formation energy is -43.632 kcal/mol of atoms. The theoretical density is 6.6 g cm⁻³.

Cell: 6.700 6.700 6.654 Å, 59.77 59.77 60.00°
Sites, in units of the cell vectors:
Na 0.998 0.998 0.007
O 0.758 0.758 0.725
O 0.246 0.246 0.720
O 0.243 0.243 0.272
O 0.227 0.742 0.290
O 0.787 0.246 0.720
O 0.742 0.742 0.290
O 0.246 0.787 0.720
O 0.742 0.227 0.290
In 0.000 0.504 0.495
In 0.622 0.622 0.135
In 0.504 0.000 0.495
In 0.000 0.000 0.495
Th 0.385 0.385 0.844